No. 1
Material: Sm12ErAl6
Method: DFT, PBE-GGA
State: relaxed

```
data_Sm12ErAl6
_chemical_formula_sum 'Sm12 Er1 Al6'
_symmetry_space_group_name_H-M 'P 1'
_symmetry_Int_Tables_number 1
_symmetry_space_group_name_Hall 'P 1'
_cell_length_a 8.083
_cell_length_b 8.083
_cell_length_c 8.083
_cell_angle_alpha 88.08
_cell_angle_beta 88.08
_cell_angle_gamma 88.08
loop_
_atom_site_label
_atom_site_fract_x
_atom_site_fract_y
_atom_site_fract_z
_atom_site_occupancy
Sm1 0.026 0.310 0.930 1
Sm2 0.070 0.974 0.690 1
Sm3 0.116 0.346 0.461 1
Sm4 0.310 0.930 0.026 1
Sm5 0.346 0.461 0.116 1
Sm6 0.461 0.116 0.346 1
Sm7 0.539 0.884 0.654 1
Sm8 0.654 0.539 0.884 1
Sm9 0.690 0.070 0.974 1
Sm10 0.884 0.654 0.539 1
Sm11 0.930 0.026 0.310 1
Sm12 0.974 0.690 0.070 1
Er1 0.500 0.500 0.500 1
Al1 0.235 0.760 0.387 1
Al2 0.240 0.613 0.765 1
Al3 0.387 0.235 0.760 1
Al4 0.613 0.765 0.240 1
Al5 0.760 0.387 0.235 1
Al6 0.765 0.240 0.613 1
```

SG: R-3, No. 148
calculated formation energy: -12.82 kJ/mol of atoms



No. 2
Material: Pm3DyPd12
Method: DFT, PBE-GGA
State: relaxed

```
data_Pm3DyPd12
_chemical_formula_sum 'Pm3 Dy1 Pd12'
_symmetry_space_group_name_H-M 'P 1'
_symmetry_Int_Tables_number 1
_symmetry_space_group_name_Hall 'P 1'
_cell_length_a 4.163
_cell_length_b 4.163
_cell_length_c 16.744
_cell_angle_alpha 90.00
_cell_angle_beta 90.00
_cell_angle_gamma 90.00
loop_
_atom_site_label
_atom_site_fract_x
_atom_site_fract_y
_atom_site_fract_z
_atom_site_occupancy
Pm1 0.000 0.000 0.000 1
Pm2 0.000 0.000 0.252 1
Pm3 0.000 0.000 0.748 1
Dy1 0.000 0.000 0.500 1
Pd1 0.000 0.500 0.126 1
Pd2 0.000 0.500 0.378 1
Pd3 0.000 0.500 0.622 1
Pd4 0.000 0.500 0.874 1
Pd5 0.500 0.000 0.126 1
Pd6 0.500 0.000 0.378 1
Pd7 0.500 0.000 0.622 1
Pd8 0.500 0.000 0.874 1
Pd9 0.500 0.500 0.000 1
Pd10 0.500 0.500 0.252 1
Pd11 0.500 0.500 0.500 1
Pd12 0.500 0.500 0.748 1
```

SG: P4/mmm, No. 123
calculated formation energy: -78.46 kJ/mol of atoms



No. 3
Material: Na2Tl3HgI6
Method: DFT, PBE-GGA
State: relaxed

```
data_Na2Tl3HgI6
_chemical_formula_sum 'Na2 Tl3 Hg1 I6'
_symmetry_space_group_name_H-M 'P 1'
_symmetry_Int_Tables_number 1
_symmetry_space_group_name_Hall 'P 1'
_cell_length_a 8.343
_cell_length_b 8.343
_cell_length_c 8.392
_cell_angle_alpha 99.12
_cell_angle_beta 99.12
_cell_angle_gamma 120.42
loop_
_atom_site_label
_atom_site_fract_x
_atom_site_fract_y
_atom_site_fract_z
_atom_site_occupancy
Na1 0.167 0.833 0.000 1
Na2 0.833 0.167 0.000 1
Tl1 0.000 0.000 0.500 1
Tl2 0.333 0.667 0.500 1
Tl3 0.667 0.333 0.500 1
Hg1 0.500 0.500 0.000 1
I1 0.080 0.423 0.770 1
I2 0.236 0.236 0.226 1
I3 0.423 0.080 0.770 1
I4 0.577 0.920 0.230 1
I5 0.764 0.764 0.774 1
I6 0.920 0.577 0.230 1
```

SG: C2/m, No. 12
ΔE_f (raw): -0.73 eV per atom



No. 4
Material: Na2HfMnAg
Method: DFT, PBE-GGA
State: relaxed

```
data_Na2HfMnAg
_chemical_formula_sum 'Na2 Hf1 Mn1 Ag1'
_symmetry_space_group_name_H-M 'P 1'
_symmetry_Int_Tables_number 1
_symmetry_space_group_name_Hall 'P 1'
_cell_length_a 5.024
_cell_length_b 5.024
_cell_length_c 5.190
_cell_angle_alpha 90.00
_cell_angle_beta 90.00
_cell_angle_gamma 90.00
loop_
_atom_site_label
_atom_site_fract_x
_atom_site_fract_y
_atom_site_fract_z
_atom_site_occupancy
Na1 0.000 0.500 0.000 1
Na2 0.500 0.000 0.000 1
Hf1 0.000 0.000 0.500 1
Mn1 0.500 0.500 0.500 1
Ag1 0.500 0.500 0.000 1
```

SG: P4/mmm, No. 123
calculated formation energy: 108.82 kJ/mol of atoms



No. 5
Material: Mo3AuS
Method: DFT, PBE-GGA
State: relaxed

```
data_Mo3AuS
_chemical_formula_sum 'Mo3 Au1 S1'
_symmetry_space_group_name_H-M 'P 1'
_symmetry_Int_Tables_number 1
_symmetry_space_group_name_Hall 'P 1'
_cell_length_a 4.878
_cell_length_b 4.878
_cell_length_c 4.878
_cell_angle_alpha 90.00
_cell_angle_beta 90.00
_cell_angle_gamma 90.00
loop_
_atom_site_label
_atom_site_fract_x
_atom_site_fract_y
_atom_site_fract_z
_atom_site_occupancy
Mo1 0.000 0.000 0.500 1
Mo2 0.000 0.500 0.000 1
Mo3 0.500 0.000 0.000 1
Au1 0.000 0.000 0.000 1
S1 0.500 0.500 0.500 1
```

SG: Pm-3m, No. 221
ΔE_f (raw): 2.45 eV per atom
ΔE to the lowest computed polymorph: 1952 meV/atom



No. 6
Material: ReHg2SbOs
Method: DFT, PBE-GGA
State: relaxed

```
data_ReHg2SbOs
_chemical_formula_sum 'Re1 Hg2 Sb1 Os1'
_symmetry_space_group_name_H-M 'P 1'
_symmetry_Int_Tables_number 1
_symmetry_space_group_name_Hall 'P 1'
_cell_length_a 5.222
_cell_length_b 5.222
_cell_length_c 4.742
_cell_angle_alpha 90.00
_cell_angle_beta 90.00
_cell_angle_gamma 90.00
loop_
_atom_site_label
_atom_site_fract_x
_atom_site_fract_y
_atom_site_fract_z
_atom_site_occupancy
Re1 0.000 0.000 0.000 1
Hg1 0.000 0.500 0.500 1
Hg2 0.500 0.000 0.500 1
Sb1 0.500 0.500 0.000 1
Os1 0.000 0.000 0.500 1
```

SG: P4/mmm, No. 123
ΔE_f (raw): 1.38 eV per atom



No. 7
Material: RbNi2PbCl
Method: DFT, PBE-GGA
State: relaxed

```
data_RbNi2PbCl
_chemical_formula_sum 'Rb1 Ni2 Pb1 Cl1'
_symmetry_space_group_name_H-M 'P 1'
_symmetry_Int_Tables_number 1
_symmetry_space_group_name_Hall 'P 1'
_cell_length_a 4.894
_cell_length_b 4.894
_cell_length_c 5.664
_cell_angle_alpha 90.00
_cell_angle_beta 90.00
_cell_angle_gamma 90.00
loop_
_atom_site_label
_atom_site_fract_x
_atom_site_fract_y
_atom_site_fract_z
_atom_site_occupancy
Rb1 0.000 0.000 0.000 1
Ni1 0.000 0.500 0.000 1
Ni2 0.500 0.000 0.000 1
Pb1 0.500 0.500 0.500 1
Cl1 0.000 0.000 0.500 1
```

SG: P4/mmm, No. 123
ΔE_f (raw): 1.15 eV per atom



No. 8
Material: Pr3Dy2In4
Method: DFT, PBE-GGA
State: relaxed

```
data_Pr3Dy2In4
_chemical_formula_sum 'Pr3 Dy2 In4'
_symmetry_space_group_name_H-M 'P 1'
_symmetry_Int_Tables_number 1
_symmetry_space_group_name_Hall 'P 1'
_cell_length_a 6.553
_cell_length_b 6.553
_cell_length_c 10.119
_cell_angle_alpha 118.13
_cell_angle_beta 118.13
_cell_angle_gamma 45.91
loop_
_atom_site_label
_atom_site_fract_x
_atom_site_fract_y
_atom_site_fract_z
_atom_site_occupancy
Pr1 0.000 0.000 0.000 1
Pr2 0.354 0.354 0.315 1
Pr3 0.646 0.646 0.685 1
Dy1 0.353 0.353 0.687 1
Dy2 0.647 0.647 0.313 1
In1 0.054 0.054 0.392 1
In2 0.298 0.298 0.961 1
In3 0.702 0.702 0.039 1
In4 0.946 0.946 0.608 1
```

SG: C2/m, No. 12
calculated formation energy: -36.17 kJ/mol of atoms



No. 9
Material: Ho3Tm4Rh4
Method: DFT, PBE-GGA
State: relaxed

```
data_Ho3Tm4Rh4
_chemical_formula_sum 'Ho3 Tm4 Rh4'
_symmetry_space_group_name_H-M 'P 1'
_symmetry_Int_Tables_number 1
_symmetry_space_group_name_Hall 'P 1'
_cell_length_a 9.175
_cell_length_b 9.175
_cell_length_c 9.175
_cell_angle_alpha 156.68
_cell_angle_beta 122.93
_cell_angle_gamma 62.49
loop_
_atom_site_label
_atom_site_fract_x
_atom_site_fract_y
_atom_site_fract_z
_atom_site_occupancy
Ho1 0.000 0.000 0.000 1
Ho2 0.397 0.897 0.500 1
Ho3 0.603 0.103 0.500 1
Tm1 0.022 0.335 0.688 1
Tm2 0.353 0.665 0.688 1
Tm3 0.647 0.335 0.312 1
Tm4 0.978 0.665 0.312 1
Rh1 0.249 0.249 0.000 1
Rh2 0.289 0.500 0.789 1
Rh3 0.711 0.500 0.211 1
Rh4 0.751 0.751 0.000 1
```

SG: Immm, No. 71
calculated formation energy: -66.55 kJ/mol of atoms



No. 10
Material: LiPmZnGa
Method: DFT, PBE-GGA
State: relaxed

```
data_LiPmZnGa
_chemical_formula_sum 'Li4 Pm4 Zn4 Ga4'
_symmetry_space_group_name_H-M 'P 1'
_symmetry_Int_Tables_number 1
_symmetry_space_group_name_Hall 'P 1'
_cell_length_a 6.898
_cell_length_b 6.898
_cell_length_c 6.898
_cell_angle_alpha 90.00
_cell_angle_beta 90.00
_cell_angle_gamma 90.00
loop_
_atom_site_label
_atom_site_fract_x
_atom_site_fract_y
_atom_site_fract_z
_atom_site_occupancy
Li1 0.000 0.000 0.000 1
Li2 0.000 0.500 0.500 1
Li3 0.500 0.000 0.500 1
Li4 0.500 0.500 0.000 1
Pm1 0.000 0.000 0.500 1
Pm2 0.000 0.500 0.000 1
Pm3 0.500 0.000 0.000 1
Pm4 0.500 0.500 0.500 1
Zn1 0.250 0.250 0.750 1
Zn2 0.250 0.750 0.250 1
Zn3 0.750 0.250 0.250 1
Zn4 0.750 0.750 0.750 1
Ga1 0.250 0.250 0.250 1
Ga2 0.250 0.750 0.750 1
Ga3 0.750 0.250 0.750 1
Ga4 0.750 0.750 0.250 1
```

SG: F-43m, No. 216
calculated formation energy: -36.70 kJ/mol of atoms



No. 11
Material: Li4Zn3Rh
Method: DFT, PBE-GGA
State: relaxed

```
data_Li4Zn3Rh
_chemical_formula_sum 'Li8 Zn6 Rh2'
_symmetry_space_group_name_H-M 'P 1'
_symmetry_Int_Tables_number 1
_symmetry_space_group_name_Hall 'P 1'
_cell_length_a 16.490
_cell_length_b 3.724
_cell_length_c 3.909
_cell_angle_alpha 90.00
_cell_angle_beta 103.60
_cell_angle_gamma 90.00
loop_
_atom_site_label
_atom_site_fract_x
_atom_site_fract_y
_atom_site_fract_z
_atom_site_occupancy
Li1 0.117 0.000 0.116 1
Li2 0.242 0.000 0.742 1
Li3 0.258 0.500 0.258 1
Li4 0.383 0.500 0.884 1
Li5 0.617 0.500 0.116 1
Li6 0.742 0.500 0.742 1
Li7 0.758 0.000 0.258 1
Li8 0.883 0.000 0.884 1
Zn1 0.000 0.500 0.000 1
Zn2 0.119 0.500 0.619 1
Zn3 0.381 0.000 0.381 1
Zn4 0.500 0.000 0.000 1
Zn5 0.619 0.000 0.619 1
Zn6 0.881 0.500 0.381 1
Rh1 0.000 0.000 0.500 1
Rh2 0.500 0.500 0.500 1
```

SG: C2/m, No. 12
calculated formation energy: -22.83 kJ/mol of atoms
ΔE to the lowest computed polymorph: 0 meV/atom



No. 12
Material: Ba2SrCr
Method: DFT, PBE-GGA
State: relaxed

```
data_Ba2SrCr
_chemical_formula_sum 'Ba4 Sr2 Cr2'
_symmetry_space_group_name_H-M 'P 1'
_symmetry_Int_Tables_number 1
_symmetry_space_group_name_Hall 'P 1'
_cell_length_a 5.764
_cell_length_b 5.764
_cell_length_c 11.165
_cell_angle_alpha 90.00
_cell_angle_beta 90.00
_cell_angle_gamma 90.00
loop_
_atom_site_label
_atom_site_fract_x
_atom_site_fract_y
_atom_site_fract_z
_atom_site_occupancy
Ba1 0.000 0.500 0.250 1
Ba2 0.000 0.500 0.750 1
Ba3 0.500 0.000 0.250 1
Ba4 0.500 0.000 0.750 1
Sr1 0.000 0.000 0.000 1
Sr2 0.500 0.500 0.500 1
Cr1 0.000 0.000 0.500 1
Cr2 0.500 0.500 0.000 1
```

SG: I4/mmm, No. 139
calculated formation energy: 51.35 kJ/mol of atoms
ΔE to the lowest computed polymorph: 119 meV/atom



Fermi-level density of states: 1.0971, 0.6394, 0.4268, 1.3798, 1.9995, 0.9849, 0.4627, 0.8550, 0.6425, 0.3416, 0.3634, 1.3622 (states/eV/atom)
Calculated density: 6.7, 10.7, 5.6, 4.9, 7.4, 11.5, 5.5, 7.5, 10.3, 5.8, 4.7, 3.7 (g cm⁻³)